VASP calculation (PBE) on a geometry-optimized Pr3Ge4Se structure.

It has space group Pm (No. 6), with a = 6.018 Å, b = 4.118 Å, c = 8.687 Å, α = 90.00°, β = 94.91° and γ = 90.00°. The distinct sites, in fractional coordinates, are Pr at (0.000, 0.000, 0.000), Pr at (0.220, 0.500, 0.616), Pr at (0.677, 0.500, 0.363), Ge at (0.073, 0.000, 0.378), Ge at (0.192, 0.500, 0.236), Ge at (0.527, 0.000, 0.764), Ge at (0.767, 0.500, 0.742) and Se at (0.571, 0.000, 0.129).

The value obtained for the raw total energy is -5.177 eV/atom. As for the density: 6.13 g/cm³.